Entry 1:
Density functional theory data (GGA-PBEsol) for a geometry-optimized SrMo3 structure.

Cell lengths 3.143, 3.143, 9.127 Å; angles 90.00, 90.00, 120.00 degrees
Sites, in units of the cell vectors:
Mo  0.333  0.667  0.000
Mo  0.000  0.000  0.201
Mo  0.000  0.000  0.799
Sr  0.333  0.667  0.500

Computed properties:
N(E_F) = 1.078 states/eV/atom
Energy of formation from the pure elements = 0.97 eV per atom
VASP energy = -0.3058 hartree per atom
Calculated density = 7983 kg/m3
Energy relative to the lowest polymorph listed for this composition = 0 meV/atom


Entry 2:
Density functional theory data (GGA-PBEsol) for a geometry-optimized SrMo structure.

Cell lengths 3.438, 3.438, 10.694 Å; angles 80.75, 80.75, 60.00 degrees
Sites, in units of the cell vectors:
Sr  0.392  0.392  0.823
Sr  0.608  0.608  0.177
Mo  0.857  0.857  0.429
Mo  0.143  0.143  0.571

Computed properties:
N(E_F) = 1.181 states/eV/atom
Energy of formation from the pure elements = 0.84 eV per atom
VASP energy = -0.2192 hartree per atom
Calculated density = 5667 kg/m3
Energy relative to the lowest polymorph listed for this composition = 119 meV/atom


Entry 3:
Density functional theory data (GGA-PBEsol) for a geometry-optimized SrMo2 structure.

Cell lengths 3.273, 3.273, 6.461 Å; angles 104.67, 104.67, 90.00 degrees
Sites, in units of the cell vectors:
Sr  0.000  0.000  0.000
Mo  0.296  0.296  0.593
Mo  0.704  0.704  0.407

Computed properties:
N(E_F) = 1.315 states/eV/atom
Energy of formation from the pure elements = 0.71 eV per atom
VASP energy = -0.2848 hartree per atom
Calculated density = 7184 kg/m3
Energy relative to the lowest polymorph listed for this composition = 0 meV/atom


Entry 4:
Density functional theory data (GGA-PBEsol) for a geometry-optimized SrMo structure.

Cell lengths 3.492, 5.689, 6.299 Å; angles 116.84, 106.09, 90.00 degrees
Sites, in units of the cell vectors:
Mo  0.177  0.927  0.354
Mo  0.823  0.073  0.646
Sr  0.601  0.351  0.203
Sr  0.399  0.649  0.797

Computed properties:
N(E_F) = 0.623 states/eV/atom
Energy of formation from the pure elements = 0.72 eV per atom
VASP energy = -0.2235 hartree per atom
Calculated density = 5745 kg/m3
Energy relative to the lowest polymorph listed for this composition = 0 meV/atom


Entry 5:
Density functional theory data (GGA-PBEsol) for a geometry-optimized SrMo3 structure.

Cell lengths 2.691, 5.599, 5.599 Å; angles 117.48, 99.22, 99.22 degrees
Sites, in units of the cell vectors:
Mo  0.500  0.500  0.500
Mo  0.000  0.000  0.500
Mo  0.000  0.500  0.000
Sr  0.500  0.000  0.000

Computed properties:
N(E_F) = 1.090 states/eV/atom
Energy of formation from the pure elements = 1.05 eV per atom
VASP energy = -0.3026 hartree per atom
Calculated density = 8756 kg/m3
Energy relative to the lowest polymorph listed for this composition = 88 meV/atom


Entry 6:
Density functional theory data (GGA-PBEsol) for a geometry-optimized SrMo structure.

Cell lengths 3.504, 3.504, 10.337 Å; angles 90.00, 90.00, 120.00 degrees
Sites, in units of the cell vectors:
Mo  0.667  0.333  0.930
Mo  0.333  0.667  0.070
Sr  0.667  0.333  0.325
Sr  0.333  0.667  0.675

Computed properties:
N(E_F) = 1.406 states/eV/atom
Energy of formation from the pure elements = 0.86 eV per atom
VASP energy = -0.2183 hartree per atom
Calculated density = 5547 kg/m3
Energy relative to the lowest polymorph listed for this composition = 141 meV/atom


Entry 7:
Density functional theory data (GGA-PBEsol) for a geometry-optimized SrMo structure.

Cell lengths 4.963, 4.963, 4.963 Å; angles 68.45, 68.45, 68.45 degrees
Sites, in units of the cell vectors:
Sr  0.359  0.359  0.359
Sr  0.641  0.641  0.641
Mo  0.093  0.093  0.093
Mo  0.907  0.907  0.907

Computed properties:
N(E_F) = 0.671 states/eV/atom
Energy of formation from the pure elements = 0.92 eV per atom
VASP energy = -0.2163 hartree per atom
Calculated density = 5984 kg/m3
Energy relative to the lowest polymorph listed for this composition = 198 meV/atom


Entry 8:
Density functional theory data (GGA-PBEsol) for a geometry-optimized SrMo2 structure.

Cell lengths 4.064, 4.064, 5.331 Å; angles 90.00, 90.00, 120.00 degrees
Sites, in units of the cell vectors:
Mo  0.667  0.333  0.000
Mo  0.333  0.667  0.000
Sr  0.000  0.000  0.500

Computed properties:
N(E_F) = 0.955 states/eV/atom
Energy of formation from the pure elements = 0.90 eV per atom
VASP energy = -0.2779 hartree per atom
Calculated density = 6088 kg/m3
Energy relative to the lowest polymorph listed for this composition = 188 meV/atom


Entry 9:
Density functional theory data (GGA-PBEsol) for a geometry-optimized SrTaMo2 structure.

Cell lengths 4.724, 4.724, 4.724 Å; angles 60.00, 60.00, 60.00 degrees
Sites, in units of the cell vectors:
Mo  0.250  0.250  0.250
Mo  0.750  0.750  0.750
Ta  0.500  0.500  0.500
Sr  0.000  0.000  0.000

Computed properties:
N(E_F) = 1.389 states/eV/atom
Energy of formation from the pure elements = 1.01 eV per atom
VASP energy = -0.3115 hartree per atom
Calculated density = 10254 kg/m3
Energy relative to the lowest polymorph listed for this composition = 346 meV/atom


Entry 10:
Density functional theory data (GGA-PBEsol) for a geometry-optimized SrTaMo2 structure.

Cell lengths 2.975, 4.364, 6.797 Å; angles 90.00, 96.12, 90.00 degrees
Sites, in units of the cell vectors:
Ta  0.000  0.500  0.500
Mo  0.666  0.000  0.661
Mo  0.334  0.000  0.339
Sr  0.500  0.500  0.000

Computed properties:
N(E_F) = 0.815 states/eV/atom
Energy of formation from the pure elements = 0.66 eV per atom
VASP energy = -0.3242 hartree per atom
Calculated density = 8713 kg/m3
Energy relative to the lowest polymorph listed for this composition = 0 meV/atom


Entry 11:
Density functional theory data (GGA-PBEsol) for a geometry-optimized SrTaMo2 structure.

Cell lengths 2.718, 4.746, 6.559 Å; angles 90.06, 90.00, 106.64 degrees
Sites, in units of the cell vectors:
Mo  0.252  0.504  0.190
Mo  0.004  0.008  0.008
Ta  0.746  0.491  0.810
Sr  0.499  0.997  0.492

Computed properties:
N(E_F) = 1.028 states/eV/atom
Energy of formation from the pure elements = 0.91 eV per atom
VASP energy = -0.3152 hartree per atom
Calculated density = 9432 kg/m3
Energy relative to the lowest polymorph listed for this composition = 247 meV/atom


Entry 12:
Density functional theory data (GGA-PBEsol) for a geometry-optimized SrTcMo4 structure.

Cell lengths 5.313, 5.313, 5.313 Å; angles 60.00, 60.00, 60.00 degrees
Sites, in units of the cell vectors:
Mo  0.375  0.375  0.876
Mo  0.375  0.375  0.375
Mo  0.375  0.876  0.375
Mo  0.876  0.375  0.375
Tc  0.000  0.000  0.000
Sr  0.750  0.750  0.750

Computed properties:
N(E_F) = 0.785 states/eV/atom
Energy of formation from the pure elements = 0.73 eV per atom
VASP energy = -0.3417 hartree per atom
Calculated density = 8917 kg/m3